Below is a relaxed structure of Hf2Zn2Ge, with properties calculated at the GGA-PBE level.

Cell lengths 6.557, 6.557, 4.118 Å; angles 90.00, 90.00, 90.00 degrees
Element x y z (fractional)
Hf 0.170 0.330 0.000
Hf 0.330 0.830 0.000
Hf 0.670 0.170 0.000
Hf 0.830 0.670 0.000
Zn 0.130 0.630 0.500
Zn 0.370 0.130 0.500
Zn 0.630 0.870 0.500
Zn 0.870 0.370 0.500
Ge 0.000 0.000 0.500
Ge 0.500 0.500 0.500

## Properties
excess energy over the best structure of this formula in the dataset = 0.0000 eV per atom
total moment = 0.00 μB/f.u.
formation energy from the elements = -0.212 eV per atom
raw total energy = -56.26 eV per cell